## DyB4Ru4 (PBE-GGA)

Data for a relaxed structure of DyB4Ru4.

Computed properties:
**ΔH_f (0 K)**: -44 kJ per mole of atoms
**Total magnetization**: 0.00 μB per atom

abc: 5.370 5.370 7.354
angles: 90.00 90.00 90.00
Positions (direct):
B  0.000  0.328  0.651
B  0.500  0.172  0.849
B  0.828  0.500  0.151
B  0.000  0.672  0.651
B  0.500  0.828  0.849
B  0.672  0.000  0.349
B  0.328  0.000  0.349
B  0.172  0.500  0.151
Ru  0.245  0.000  0.639
Ru  0.745  0.500  0.861
Ru  0.000  0.755  0.361
Ru  0.500  0.745  0.139
Ru  0.500  0.255  0.139
Ru  0.755  0.000  0.639
Ru  0.255  0.500  0.861
Ru  0.000  0.245  0.361
Dy  0.500  0.500  0.500
Dy  0.000  0.000  0.000